Compound: La5Pm2HoTm
Source: Alexandria
Functional: PBE-GGA
Structure: optimized geometry Values from VASP.

Summary:
Its space group is I4/mcm, No. 140. For the electronic total energy, the calculation gives -81.44 eV per cell. The volume comes out at 35.86 A^3/atom.

The structure in Quantum ESPRESSO input format:
```
&SYSTEM
  ibrav = 0, nat = 18, ntyp = 4
/
ATOMIC_SPECIES
La 138.91 La.upf
Pm 145.00 Pm.upf
Ho 164.93 Ho.upf
Tm 168.93 Tm.upf
CELL_PARAMETERS angstrom
-4.2669 4.2669 8.8642
4.2669 -4.2669 8.8642
4.2669 4.2669 -8.8642
ATOMIC_POSITIONS crystal
La 0.0000 0.0000 0.0000
La 0.0790 0.5790 0.9440
La 0.1351 0.0790 0.5000
La 0.3649 0.8649 0.9440
La 0.4210 0.3649 0.5000
La 0.5000 0.5000 0.0000
La 0.5790 0.6351 0.5000
La 0.6351 0.1351 0.0560
La 0.8649 0.9210 0.5000
La 0.9210 0.4210 0.0560
Pm 0.1252 0.3748 0.5000
Pm 0.3748 0.8748 0.2495
Pm 0.6252 0.1252 0.7505
Pm 0.8748 0.6252 0.5000
Ho 0.2500 0.2500 0.0000
Ho 0.7500 0.7500 0.0000
Tm 0.2500 0.7500 0.5000
Tm 0.7500 0.2500 0.5000
```